# PmNdCu2

Crystalline PmNdCu2 at its relaxed geometry (PBE-GGA, the Alexandria database).

Calculated volume ... 91.6 Å³ per cell
Symmetry ... P4/mmm (123)
Offset from the most stable computed form ... 0.031 eV per atom
ρ ... 7.5 Mg/m³

Cell: 3.5767 3.5767 7.1595 Å, 90.00 90.00 90.00°
With the nearest neighbours (Å) after each atom.
Element x y z (fractional)
Cu (0.0000, 0.0000, 0.7552)  4 Pm 3.08, 4 Nd 3.12
Cu (0.0000, 0.0000, 0.2448)  4 Pm 3.08, 4 Nd 3.12
Pm (0.5000, 0.5000, 0.0000)  8 Cu 3.08
Nd (0.5000, 0.5000, 0.5000)  8 Cu 3.12